# 1
VASP calculation (GGA-PBE) on an optimized crystal structure of AsC2.

Cell and atoms, written as POSCAR:
```
AsC2
1.0
1.3655 -10.1876 0.0000
1.3655 10.1876 0.0000
0.0000 0.0000 2.7689
As C
2 4
Direct
0.6542 0.3458 0.0000
0.3458 0.6542 0.0000
0.0000 0.0000 0.0000
0.5000 0.5000 0.5000
0.8329 0.1671 0.5000
0.1671 0.8329 0.5000
```

Calculated values
**Formation energy**: 2517 meV/atom
**Space group**: No. 65
**Distance to the lowest polymorph of the same formula**: 2165 meV per atom
**Raw total energy**: -5.182 eV/atom

# 2
VASP calculation (GGA-PBE) on an optimized crystal structure of ZnAsWBr2.

Cell and atoms, written as POSCAR:
```
ZnAsWBr2
1.0
4.9428 0.0000 0.0000
0.0000 4.9428 0.0000
0.0000 0.0000 5.1268
Zn As Br W
1 1 2 1
Direct
0.0000 0.0000 0.0000
0.0000 0.0000 0.5000
0.0000 0.5000 0.0000
0.5000 0.0000 0.0000
0.5000 0.5000 0.5000
```

Calculated values
**Space group**: No. 123
**Formation energy from raw total energies**: 1.216 eV per atom
**Distance to the lowest polymorph of the same formula**: 757 meV per atom
**Raw total energy**: -3.228 eV/atom

Q: What is the formula in the second record?
A: ZnAsWBr2

Copy entry 2 word for word.
VASP calculation (GGA-PBE) on an optimized crystal structure of ZnAsWBr2.

Cell and atoms, written as POSCAR:
```
ZnAsWBr2
1.0
4.9428 0.0000 0.0000
0.0000 4.9428 0.0000
0.0000 0.0000 5.1268
Zn As Br W
1 1 2 1
Direct
0.0000 0.0000 0.0000
0.0000 0.0000 0.5000
0.0000 0.5000 0.0000
0.5000 0.0000 0.0000
0.5000 0.5000 0.5000
```

Calculated values
**Space group**: No. 123
**Formation energy from raw total energies**: 1.216 eV per atom
**Distance to the lowest polymorph of the same formula**: 757 meV per atom
**Raw total energy**: -3.228 eV/atom

Q: What is the raw total energy in the first record?
A: -5.182 eV/atom